A plane-wave DFT calculation with PBE was carried out for a relaxed Dy2Ho6Cd crystal.

The value obtained for the formation enthalpy at 0 K is -0.013 eV per atom. The value obtained for the density of states at the Fermi level is 25.76 states/eV per cell. The spin magnetization is 0.00 μB/f.u. As for the uncorrected energy: -4.19 eV/atom.

It has space group P4_2/mnm (No. 136), with a = 10.4286 Å, b = 10.4286 Å, c = 4.9483 Å, α = 90.00°, β = 90.00° and γ = 90.00°. The distinct sites, in fractional coordinates, are Dy at (0.1646, 0.1646, 0.0000), Ho at (0.0002, 0.3330, 0.5000), Ho at (0.1647, 0.8353, 0.0000) and Cd at (0.0000, 0.0000, 0.5000).


A plane-wave DFT calculation with PBE was carried out for a relaxed Dy7Ho12Cd crystal.

The value obtained for the formation enthalpy at 0 K is 0.190 eV per atom. The value obtained for the density of states at the Fermi level is 87.89 states/eV per cell. The spin magnetization is 0.01 μB/f.u. As for the uncorrected energy: -4.21 eV/atom.

It has space group R-3 (No. 148, hexagonal axes), with a = 11.8103 Å, b = 11.8103 Å, c = 15.7699 Å, α = 90.00°, β = 90.00° and γ = 120.00°. The distinct sites, in fractional coordinates, are Dy at (0.0000, 0.0000, 0.0000), Dy at (0.0578, 0.8680, 0.2928), Ho at (0.0365, 0.5765, 0.2178), Ho at (0.0537, 0.4688, 0.5844) and Cd at (0.0000, 0.0000, 0.5000).


A plane-wave DFT calculation with PBE was carried out for a relaxed Dy2Ho2Cd crystal.

The value obtained for the formation enthalpy at 0 K is 0.066 eV per atom. The value obtained for the density of states at the Fermi level is 40.90 states/eV per cell. The spin magnetization is 0.00 μB/f.u. As for the uncorrected energy: -3.79 eV/atom.

It has space group I4_1/amd (No. 141, origin choice 2), with a = 5.0389 Å, b = 5.0389 Å, c = 25.0697 Å, α = 90.00°, β = 90.00° and γ = 90.00°. The distinct sites, in fractional coordinates, are Dy at (0.0000, 0.2500, 0.0517), Ho at (0.0000, 0.2500, 0.2025) and Cd at (0.0000, 0.2500, 0.3750).


A plane-wave DFT calculation with PBE was carried out for a relaxed DyHo2Cd4 crystal.

The value obtained for the formation enthalpy at 0 K is -0.153 eV per atom. The value obtained for the density of states at the Fermi level is 9.72 states/eV per cell. The spin magnetization is 0.00 μB/f.u. As for the uncorrected energy: -2.64 eV/atom.

It has space group I4/mmm (No. 139), with a = 5.3103 Å, b = 5.3103 Å, c = 13.7565 Å, α = 90.00°, β = 90.00° and γ = 90.00°. The distinct sites, in fractional coordinates, are Dy at (0.0000, 0.0000, 0.0000), Ho at (0.0000, 0.0000, 0.2585) and Cd at (0.0000, 0.5000, 0.1155).


A plane-wave DFT calculation with PBE was carried out for a relaxed Dy3Ho3Cd crystal.

The value obtained for the formation enthalpy at 0 K is -0.035 eV per atom. The value obtained for the density of states at the Fermi level is 20.42 states/eV per cell. The spin magnetization is 0.00 μB/f.u. As for the uncorrected energy: -4.10 eV/atom.

It has space group P2_1/m (No. 11), with a = 9.3386 Å, b = 5.5010 Å, c = 9.3439 Å, α = 90.00°, β = 119.97° and γ = 90.00°. The distinct sites, in fractional coordinates, are Dy at (0.0215, 0.2500, 0.1281), Dy at (0.1282, 0.7500, 0.6072), Dy at (0.3931, 0.7500, 0.0216), Ho at (0.2580, 0.7500, 0.3202), Ho at (0.3200, 0.2500, 0.5619), Ho at (0.4383, 0.2500, 0.2583) and Cd at (0.1669, 0.2500, 0.8336).


A plane-wave DFT calculation with PBE was carried out for a relaxed DyHoCdIn crystal.

The value obtained for the formation enthalpy at 0 K is -0.404 eV per atom. The value obtained for the density of states at the Fermi level is 15.52 states/eV per cell. The spin magnetization is 0.00 μB/f.u. As for the uncorrected energy: -3.61 eV/atom.

It has space group F-43m (No. 216), with a = 7.4790 Å, b = 7.4790 Å, c = 7.4790 Å, α = 90.00°, β = 90.00° and γ = 90.00°. The distinct sites, in fractional coordinates, are Dy at (0.0000, 0.0000, 0.0000), Ho at (0.0000, 0.0000, 0.5000), Cd at (0.2500, 0.2500, 0.2500) and In at (0.2500, 0.2500, 0.7500).